Entry 1:
{"formula": "BaAuS6", "functional": "PBE", "state": "optimized geometry", "raw_formation_energy_ev_per_fu": -3.66, "sg": "P-1", "magnetic_moment_mub_per_fu": 0.00, "cell": [[5.814, 0.000, 0.000], [-0.221, 6.157, 0.000], [-0.981, -1.756, 6.057]], "species": ["Ba", "Au", "S", "S", "S", "S", "S", "S"], "fractional_positions": [[0.000, 0.000, 0.000], [0.500, 0.500, 0.000], [0.135, 0.547, 0.138], [0.326, 0.170, 0.662], [0.455, 0.890, 0.709], [0.545, 0.110, 0.291], [0.674, 0.830, 0.338], [0.865, 0.453, 0.862]]}

---

Entry 2:
{"formula": "K2NiW", "functional": "PBE", "state": "optimized geometry", "polymorph_energy_kj_per_mol_atoms": 91.3, "sg": "F-43m", "magnetic_moment_mub_per_fu": 4.09, "ef_ev_per_fu": 7.1, "cell": [[0.000, 3.690, 3.690], [3.690, 0.000, 3.690], [3.690, 3.690, 0.000]], "species": ["K", "K", "Ni", "W"], "fractional_positions": [[0.000, 0.000, 0.000], [0.250, 0.250, 0.250], [0.750, 0.750, 0.750], [0.500, 0.500, 0.500]]}

---

Entry 3:
{"formula": "Pr2Mg3Ag2", "functional": "PBE", "state": "optimized geometry", "polymorph_energy_kj_per_mol_atoms": 0.0, "sg": "C2/m", "magnetic_moment_mub_per_fu": 0.00, "ef_ev_per_fu": -1.7, "cell": [[5.291, -2.355, 0.000], [5.291, 2.355, 0.000], [-3.061, 0.000, 7.075]], "species": ["Pr", "Pr", "Mg", "Mg", "Mg", "Ag", "Ag"], "fractional_positions": [[0.140, 0.140, 0.280], [0.860, 0.860, 0.720], [0.372, 0.372, 0.064], [0.500, 0.500, 0.500], [0.628, 0.628, 0.936], [0.149, 0.149, 0.708], [0.851, 0.851, 0.292]]}

---

Entry 4:
{"formula": "CdIn2Se4", "functional": "PBE", "state": "optimized geometry", "raw_formation_energy_ev_per_fu": -4.07, "polymorph_energy_kj_per_mol_atoms": 0.0, "sg": "I-4", "magnetic_moment_mub_per_fu": 0.00, "cell": [[-2.993, 2.993, 5.893], [2.993, -2.993, 5.893], [2.993, 2.993, -5.893]], "species": ["Cd", "In", "In", "Se", "Se", "Se", "Se"], "fractional_positions": [[0.000, 0.000, 0.000], [0.250, 0.750, 0.500], [0.500, 0.500, 0.000], [0.098, 0.590, 0.962], [0.410, 0.372, 0.508], [0.628, 0.137, 0.038], [0.863, 0.902, 0.492]]}

---

Entry 5:
{"formula": "Mg2Sc3Pt3", "functional": "PBE", "state": "optimized geometry", "sg": "P6_3/mcm", "magnetic_moment_mub_per_fu": 0.00, "ef_ev_per_fu": -8.0, "cell": [[8.024, 0.000, 0.000], [-4.012, 6.949, 0.000], [0.000, 0.000, 5.486]], "species": ["Mg", "Mg", "Mg", "Mg", "Sc", "Sc", "Sc", "Sc", "Sc", "Sc", "Pt", "Pt", "Pt", "Pt", "Pt", "Pt"], "fractional_positions": [[0.333, 0.667, 0.000], [0.333, 0.667, 0.500], [0.667, 0.333, 0.000], [0.667, 0.333, 0.500], [0.000, 0.267, 0.250], [0.000, 0.733, 0.750], [0.267, 0.000, 0.250], [0.267, 0.267, 0.750], [0.733, 0.000, 0.750], [0.733, 0.733, 0.250], [0.000, 0.384, 0.750], [0.000, 0.616, 0.250], [0.384, 0.000, 0.750], [0.384, 0.384, 0.250], [0.616, 0.000, 0.250], [0.616, 0.616, 0.750]]}

---

Entry 6:
{"formula": "K2FeCl", "functional": "PBE", "state": "optimized geometry", "raw_formation_energy_ev_per_fu": 0.16, "polymorph_energy_kj_per_mol_atoms": 19.4, "sg": "Fm-3m", "magnetic_moment_mub_per_fu": 3.00, "cell": [[0.000, 4.063, 4.063], [4.063, 0.000, 4.063], [4.063, 4.063, 0.000]], "species": ["K", "K", "Fe", "Cl"], "fractional_positions": [[0.250, 0.250, 0.250], [0.750, 0.750, 0.750], [0.000, 0.000, 0.000], [0.500, 0.500, 0.500]]}

---

Entry 7:
{"formula": "La12Pr3Pb", "functional": "PBE", "state": "optimized geometry", "sg": "P4/mmm", "magnetic_moment_mub_per_fu": 0.00, "ef_ev_per_fu": -1.3, "cell": [[5.188, 0.000, 0.000], [0.000, 5.188, 0.000], [0.000, 0.000, 21.144]], "species": ["La", "La", "La", "La", "La", "La", "La", "La", "La", "La", "La", "La", "Pr", "Pr", "Pr", "Pb"], "fractional_positions": [[0.000, 0.000, 0.000], [0.000, 0.000, 0.249], [0.000, 0.000, 0.500], [0.000, 0.000, 0.751], [0.000, 0.500, 0.120], [0.000, 0.500, 0.373], [0.000, 0.500, 0.627], [0.000, 0.500, 0.880], [0.500, 0.000, 0.120], [0.500, 0.000, 0.373], [0.500, 0.000, 0.627], [0.500, 0.000, 0.880], [0.500, 0.500, 0.248], [0.500, 0.500, 0.500], [0.500, 0.500, 0.752], [0.500, 0.500, 0.000]]}

---

Entry 8:
{"formula": "Tb5Th5Sc2", "functional": "PBE", "state": "optimized geometry", "sg": "C2/m", "magnetic_moment_mub_per_fu": 0.00, "ef_ev_per_fu": 0.7, "cell": [[7.357, -2.508, 0.000], [7.357, 2.508, 0.000], [-4.868, 0.000, 10.042]], "species": ["Tb", "Tb", "Tb", "Tb", "Tb", "Th", "Th", "Th", "Th", "Th", "Sc", "Sc"], "fractional_positions": [[0.000, 0.000, 0.000], [0.082, 0.082, 0.748], [0.170, 0.170, 0.504], [0.830, 0.830, 0.496], [0.918, 0.918, 0.252], [0.248, 0.248, 0.245], [0.332, 0.332, 0.996], [0.500, 0.500, 0.500], [0.668, 0.668, 0.004], [0.752, 0.752, 0.755], [0.416, 0.416, 0.749], [0.584, 0.584, 0.251]]}

---

Entry 9:
{"formula": "RbLi2Nb", "functional": "PBE", "state": "optimized geometry", "polymorph_energy_kj_per_mol_atoms": 5.9, "sg": "I-42d", "magnetic_moment_mub_per_fu": 4.13, "ef_ev_per_fu": 4.8, "cell": [[-4.261, 4.261, 3.530], [4.261, -4.261, 3.530], [4.261, 4.261, -3.530]], "species": ["Rb", "Rb", "Li", "Li", "Li", "Li", "Nb", "Nb"], "fractional_positions": [[0.000, 0.000, 0.000], [0.750, 0.250, 0.500], [0.165, 0.125, 0.540], [0.375, 0.835, 0.960], [0.585, 0.625, 0.460], [0.875, 0.415, 0.040], [0.250, 0.750, 0.500], [0.500, 0.500, 0.000]]}

---

Entry 10:
{"formula": "Cs12Rb5As3", "functional": "PBE", "state": "optimized geometry", "sg": "Ia-3d", "magnetic_moment_mub_per_fu": 0.00, "ef_ev_per_fu": 1.2, "cell": [[-12.152, 12.152, 12.152], [12.152, -12.152, 12.152], [12.152, 12.152, -12.152]], "species": ["Cs", "Cs", "Cs", "Cs", "Cs", "Cs", "Cs", "Cs", "Cs", "Cs", "Cs", "Cs", "Cs", "Cs", "Cs", "Cs", "Cs", "Cs", "Cs", "Cs", "Cs", "Cs", "Cs", "Cs", "Cs", "Cs", "Cs", "Cs", "Cs", "Cs", "Cs", "Cs", "Cs", "Cs", "Cs", "Cs", "Cs", "Cs", "Cs", "Cs", "Cs", "Cs", "Cs", "Cs", "Cs", "Cs", "Cs", "Cs", "Rb", "Rb", "Rb", "Rb", "Rb", "Rb", "Rb", "Rb", "Rb", "Rb", "Rb", "Rb", "Rb", "Rb", "Rb", "Rb", "Rb", "Rb", "Rb", "Rb", "As", "As", "As", "As", "As", "As", "As", "As", "As", "As", "As", "As"], "fractional_positions": [[0.038, 0.633, 0.372], [0.038, 0.905, 0.666], [0.095, 0.261, 0.133], [0.095, 0.334, 0.962], [0.128, 0.761, 0.666], [0.128, 0.867, 0.462], [0.133, 0.095, 0.261], [0.133, 0.538, 0.872], [0.166, 0.261, 0.628], [0.166, 0.405, 0.538], [0.239, 0.334, 0.872], [0.239, 0.405, 0.367], [0.261, 0.133, 0.095], [0.261, 0.628, 0.166], [0.334, 0.872, 0.239], [0.334, 0.962, 0.095], [0.367, 0.239, 0.405], [0.367, 0.628, 0.962], [0.372, 0.038, 0.633], [0.372, 0.834, 0.739], [0.405, 0.367, 0.239], [0.405, 0.538, 0.166], [0.462, 0.128, 0.867], [0.462, 0.834, 0.595], [0.538, 0.166, 0.405], [0.538, 0.872, 0.133], [0.595, 0.462, 0.834], [0.595, 0.633, 0.761], [0.628, 0.166, 0.261], [0.628, 0.962, 0.367], [0.633, 0.372, 0.038], [0.633, 0.761, 0.595], [0.666, 0.038, 0.905], [0.666, 0.128, 0.761], [0.739, 0.372, 0.834], [0.739, 0.867, 0.905], [0.761, 0.595, 0.633], [0.761, 0.666, 0.128], [0.834, 0.595, 0.462], [0.834, 0.739, 0.372], [0.867, 0.462, 0.128], [0.867, 0.905, 0.739], [0.872, 0.133, 0.538], [0.872, 0.239, 0.334], [0.905, 0.666, 0.038], [0.905, 0.739, 0.867], [0.962, 0.095, 0.334], [0.962, 0.367, 0.628], [0.000, 0.000, 0.000], [0.000, 0.000, 0.500], [0.000, 0.500, 0.000], [0.000, 0.500, 0.500], [0.125, 0.750, 0.875], [0.125, 0.875, 0.250], [0.250, 0.125, 0.875], [0.250, 0.625, 0.375], [0.375, 0.250, 0.625], [0.375, 0.625, 0.750], [0.500, 0.000, 0.000], [0.500, 0.000, 0.500], [0.500, 0.500, 0.000], [0.500, 0.500, 0.500], [0.625, 0.375, 0.250], [0.625, 0.750, 0.375], [0.750, 0.375, 0.625], [0.750, 0.875, 0.125], [0.875, 0.125, 0.750], [0.875, 0.250, 0.125], [0.125, 0.250, 0.375], [0.125, 0.375, 0.750], [0.250, 0.375, 0.125], [0.250, 0.875, 0.625], [0.375, 0.125, 0.250], [0.375, 0.750, 0.125], [0.625, 0.250, 0.875], [0.625, 0.875, 0.750], [0.750, 0.125, 0.375], [0.750, 0.625, 0.875], [0.875, 0.625, 0.250], [0.875, 0.750, 0.625]]}

---

Entry 11:
{"formula": "NbAl3Ge", "functional": "PBE", "state": "optimized geometry", "polymorph_energy_kj_per_mol_atoms": 0.0, "sg": "Pm-3m", "magnetic_moment_mub_per_fu": 0.00, "ef_ev_per_fu": 4.4, "cell": [[4.997, 0.000, 0.000], [0.000, 4.997, 0.000], [0.000, 0.000, 4.997]], "species": ["Nb", "Al", "Al", "Al", "Ge"], "fractional_positions": [[0.000, 0.000, 0.000], [0.000, 0.000, 0.500], [0.000, 0.500, 0.000], [0.500, 0.000, 0.000], [0.500, 0.500, 0.500]]}

---

Entry 12:
{"formula": "NbZn2Ru2", "functional": "PBE", "state": "optimized geometry", "polymorph_energy_kj_per_mol_atoms": 0.0, "sg": "P4/mbm", "magnetic_moment_mub_per_fu": 0.00, "ef_ev_per_fu": 0.0, "cell": [[6.981, 0.000, 0.000], [0.000, 6.981, 0.000], [0.000, 0.000, 3.033]], "species": ["Nb", "Nb", "Zn", "Zn", "Zn", "Zn", "Ru", "Ru", "Ru", "Ru"], "fractional_positions": [[0.000, 0.000, 0.000], [0.500, 0.500, 0.000], [0.122, 0.378, 0.000], [0.378, 0.878, 0.000], [0.622, 0.122, 0.000], [0.878, 0.622, 0.000], [0.177, 0.677, 0.500], [0.323, 0.177, 0.500], [0.677, 0.823, 0.500], [0.823, 0.323, 0.500]]}

---

Entry 13:
{"formula": "HoErHg4", "functional": "PBE", "state": "optimized geometry", "polymorph_energy_kj_per_mol_atoms": 4.7, "sg": "C2/m", "magnetic_moment_mub_per_fu": 0.01, "ef_ev_per_fu": -2.0, "cell": [[5.931, -1.796, 0.000], [5.931, 1.796, 0.000], [-2.216, 0.000, 6.899]], "species": ["Ho", "Er", "Hg", "Hg", "Hg", "Hg"], "fractional_positions": [[0.000, 0.000, 0.000], [0.000, 0.000, 0.500], [0.333, 0.333, 0.167], [0.334, 0.334, 0.665], [0.666, 0.666, 0.335], [0.667, 0.667, 0.833]]}

---

Entry 14:
{"formula": "Li4Al4Cd", "functional": "PBE", "state": "optimized geometry", "sg": "I4/mmm", "magnetic_moment_mub_per_fu": 0.00, "ef_ev_per_fu": -1.3, "cell": [[-4.525, 4.525, 1.865], [4.525, -4.525, 1.865], [4.525, 4.525, -1.865]], "species": ["Li", "Li", "Li", "Li", "Al", "Al", "Al", "Al", "Cd"], "fractional_positions": [[0.171, 0.171, 0.342], [0.171, 0.829, 0.000], [0.829, 0.171, 0.000], [0.829, 0.829, 0.658], [0.161, 0.500, 0.661], [0.500, 0.161, 0.661], [0.500, 0.839, 0.339], [0.839, 0.500, 0.339], [0.500, 0.500, 0.000]]}

---

Entry 15:
{"formula": "TbY12Tm7", "functional": "PBE", "state": "optimized geometry", "polymorph_energy_kj_per_mol_atoms": 4.5, "sg": "R-3", "magnetic_moment_mub_per_fu": 0.00, "ef_ev_per_fu": 6.8, "cell": [[9.275, 5.355, 2.221], [-9.275, 5.355, 2.221], [0.000, -10.710, 2.221]], "species": ["Tb", "Y", "Y", "Y", "Y", "Y", "Y", "Y", "Y", "Y", "Y", "Y", "Y", "Tm", "Tm", "Tm", "Tm", "Tm", "Tm", "Tm"], "fractional_positions": [[0.000, 0.000, 0.000], [0.079, 0.289, 0.497], [0.202, 0.746, 0.269], [0.254, 0.731, 0.798], [0.269, 0.202, 0.746], [0.289, 0.497, 0.079], [0.497, 0.079, 0.289], [0.503, 0.921, 0.711], [0.711, 0.503, 0.921], [0.731, 0.798, 0.254], [0.746, 0.269, 0.202], [0.798, 0.254, 0.731], [0.921, 0.711, 0.503], [0.069, 0.370, 0.205], [0.205, 0.069, 0.370], [0.370, 0.205, 0.069], [0.500, 0.500, 0.500], [0.630, 0.795, 0.931], [0.795, 0.931, 0.630], [0.931, 0.630, 0.795]]}

---

Entry 16:
{"formula": "NaLi7Ag3", "functional": "PBE", "state": "optimized geometry", "sg": "Cmcm", "magnetic_moment_mub_per_fu": 0.00, "ef_ev_per_fu": -1.1, "cell": [[1.469, -11.471, 0.000], [1.469, 11.471, 0.000], [0.000, 0.000, 12.176]], "species": ["Na", "Na", "Li", "Li", "Li", "Li", "Li", "Li", "Li", "Li", "Li", "Li", "Li", "Li", "Li", "Li", "Ag", "Ag", "Ag", "Ag", "Ag", "Ag"], "fractional_positions": [[0.100, 0.900, 0.750], [0.900, 0.100, 0.250], [0.194, 0.806, 0.131], [0.194, 0.806, 0.369], [0.318, 0.682, 0.073], [0.318, 0.682, 0.427], [0.407, 0.593, 0.750], [0.493, 0.507, 0.108], [0.493, 0.507, 0.392], [0.507, 0.493, 0.608], [0.507, 0.493, 0.892], [0.593, 0.407, 0.250], [0.682, 0.318, 0.573], [0.682, 0.318, 0.927], [0.806, 0.194, 0.631], [0.806, 0.194, 0.869], [0.088, 0.912, 0.029], [0.088, 0.912, 0.471], [0.228, 0.772, 0.750], [0.772, 0.228, 0.250], [0.912, 0.088, 0.529], [0.912, 0.088, 0.971]]}

---

Entry 17:
{"formula": "Ti2Al5CuIr2", "functional": "PBE", "state": "optimized geometry", "sg": "P4/mbm", "magnetic_moment_mub_per_fu": 0.00, "ef_ev_per_fu": -5.4, "cell": [[8.888, 0.000, 0.000], [0.000, 8.888, 0.000], [0.000, 0.000, 4.020]], "species": ["Ti", "Ti", "Ti", "Ti", "Al", "Al", "Al", "Al", "Al", "Al", "Al", "Al", "Al", "Al", "Cu", "Cu", "Ir", "Ir", "Ir", "Ir"], "fractional_positions": [[0.176, 0.324, 0.000], [0.324, 0.824, 0.000], [0.676, 0.176, 0.000], [0.824, 0.676, 0.000], [0.000, 0.500, 0.500], [0.069, 0.798, 0.500], [0.202, 0.069, 0.500], [0.298, 0.569, 0.500], [0.431, 0.298, 0.500], [0.500, 0.000, 0.500], [0.569, 0.702, 0.500], [0.702, 0.431, 0.500], [0.798, 0.931, 0.500], [0.931, 0.202, 0.500], [0.000, 0.000, 0.000], [0.500, 0.500, 0.000], [0.120, 0.620, 0.000], [0.380, 0.120, 0.000], [0.620, 0.880, 0.000], [0.880, 0.380, 0.000]]}

---

Entry 18:
{"formula": "YZrBe", "functional": "PBE", "state": "optimized geometry", "polymorph_energy_kj_per_mol_atoms": 19.8, "sg": "P3m1", "magnetic_moment_mub_per_fu": 0.00, "ef_ev_per_fu": 0.9, "cell": [[4.610, 0.000, 0.000], [-2.305, 3.992, 0.000], [0.000, 0.000, 3.494]], "species": ["Y", "Zr", "Be"], "fractional_positions": [[0.000, 0.000, 0.000], [0.667, 0.333, 0.469], [0.333, 0.667, 0.617]]}

---

Entry 19:
{"formula": "CaY4Rh5", "functional": "PBE", "state": "optimized geometry", "sg": "P4/mmm", "magnetic_moment_mub_per_fu": 0.00, "ef_ev_per_fu": -7.5, "cell": [[3.443, 0.000, 0.000], [0.000, 3.443, 0.000], [0.000, 0.000, 17.130]], "species": ["Ca", "Y", "Y", "Y", "Y", "Rh", "Rh", "Rh", "Rh", "Rh"], "fractional_positions": [[0.000, 0.000, 0.000], [0.000, 0.000, 0.200], [0.000, 0.000, 0.400], [0.000, 0.000, 0.600], [0.000, 0.000, 0.800], [0.500, 0.500, 0.108], [0.500, 0.500, 0.302], [0.500, 0.500, 0.500], [0.500, 0.500, 0.698], [0.500, 0.500, 0.892]]}